VASP calculation (PBE-GGA) on an optimized crystal structure of AcTl2Zn.

ΔH_f (0 K): -0.263 eV per atom
Total energy: -0.1026 Ha/atom
DOS(E_F): 0.284 states/eV per atom

Unit cell a=5.0462 b=5.0462 c=17.9217 alpha=90.00 beta=90.00 gamma=90.00
Last column: nearest neighbours and their distance in Å.
Space group I4/mmm (No. 139)
Asymmetric unit:
Ac (0.0000, 0.0000, 0.1365) (multiplicity 4)  4 Zn 3.24, 8 Tl 3.51-3.58
Tl (0.0000, 0.0000, 0.3509) (multiplicity 4)  4 Zn 3.10
Tl (0.0000, 0.5000, 0.0000) (multiplicity 4)  4 Ac 3.51, 8 Tl 3.57-3.67
Zn (0.0000, 0.5000, 0.2500) (multiplicity 4)  4 Tl 3.10, 4 Ac 3.24